# 1
# TlSb2Pb | Alexandria via LeMat-Bulk | GGA-PBE | optimized geometry
data_TlSb2Pb
_space_group_name_H-M_alt 'P 1'
_space_group_IT_number 1
_cell_length_a 4.9026
_cell_length_b 4.9026
_cell_length_c 4.9693
_cell_angle_alpha 90.00
_cell_angle_beta 90.00
_cell_angle_gamma 90.00
loop_
_space_group_symop_operation_xyz
'x,y,z'
loop_
_atom_site_label
_atom_site_type_symbol
_atom_site_fract_x
_atom_site_fract_y
_atom_site_fract_z
Tl1 Tl 0.0000 0.0000 0.0000
Sb1 Sb 0.0000 0.5000 0.5000
Sb2 Sb 0.5000 0.0000 0.5000
Pb1 Pb 0.5000 0.5000 0.0000
# **Calculated total energy**: -13.97 eV/cell
# **Uncorrected formation energy**: 0.09 eV/atom
# **Space-group type**: No. 123



# 2
# Fe2Cu2Pd | Alexandria via LeMat-Bulk | GGA-PBE | optimized geometry
data_Fe2Cu2Pd
_space_group_name_H-M_alt 'P 1'
_space_group_IT_number 1
_cell_length_a 7.0127
_cell_length_b 7.0127
_cell_length_c 2.6724
_cell_angle_alpha 90.00
_cell_angle_beta 90.00
_cell_angle_gamma 90.00
loop_
_space_group_symop_operation_xyz
'x,y,z'
loop_
_atom_site_label
_atom_site_type_symbol
_atom_site_fract_x
_atom_site_fract_y
_atom_site_fract_z
Fe1 Fe 0.1182 0.3818 0.0000
Fe2 Fe 0.3818 0.8818 0.0000
Fe3 Fe 0.6182 0.1182 0.0000
Fe4 Fe 0.8818 0.6182 0.0000
Cu1 Cu 0.1767 0.6767 0.5000
Cu2 Cu 0.3233 0.1767 0.5000
Cu3 Cu 0.6767 0.8233 0.5000
Cu4 Cu 0.8233 0.3233 0.5000
Pd1 Pd 0.0000 0.0000 0.0000
Pd2 Pd 0.5000 0.5000 0.0000
# **Relative energy among the computed polymorphs**: 27.2 meV/atom
# **Calculated total energy**: -58.35 eV/cell
# **Space-group type**: No. 127
# **ΔE_f**: 228 meV per atom